Here is an optimized crystal structure of MnW2 from the Alexandria database. Energies are from PBE.

a = 5.1430 Å, b = 5.1430 Å, c = 6.1163 Å
α = 107.92°, β = 107.92°, γ = 35.29°
Sites, in units of the cell vectors:
1 Mn 0.1671 0.1671 0.0850
2 Mn 0.8329 0.8329 0.9150
3 W 0.1688 0.1688 0.5914
4 W 0.4975 0.4975 0.2387
5 W 0.5025 0.5025 0.7613
6 W 0.8312 0.8312 0.4086

ΔH_f (0 K): 0.122 eV/atom

=====

Here is an optimized crystal structure of MnW3 from the Alexandria database. Energies are from PBE.

a = 2.7497 Å, b = 2.7497 Å, c = 7.9512 Å
α = 90.00°, β = 90.00°, γ = 90.00°
Sites, in units of the cell vectors:
1 Mn 0.0000 0.0000 0.0000
2 W 0.0000 0.0000 0.5000
3 W 0.5000 0.5000 0.2175
4 W 0.5000 0.5000 0.7825

ΔH_f (0 K): 0.270 eV/atom

=====

| no. | magnetic moment (μB per atom) |
| --- | --- |
| 1 | 0.453 |
| 2 | 0.000 |